B2C: optimized geometry, GGA-PBE.

## Properties
* calculated formation energy: 467 meV/atom
* energy relative to the lowest polymorph listed for this composition: 281.2 meV/atom
* space group: P-1 (2)
* Fermi-level density of states: 0.9 states/eV per cell
* total moment: 0.00 μB per formula unit
* final energy: -7.06 eV/atom

Cell lengths 3.019, 5.196, 5.801 Å; angles 86.11, 80.52, 87.36 degrees
Fractional positions:
B (0.054, 0.410, 0.384)
B (0.211, 0.496, 0.090)
B (0.314, 0.995, 0.149)
B (0.419, 0.758, 0.712)
B (0.581, 0.242, 0.288)
B (0.686, 0.005, 0.851)
B (0.789, 0.504, 0.910)
B (0.946, 0.590, 0.616)
C (0.051, 0.084, 0.389)
C (0.467, 0.759, 0.999)
C (0.533, 0.241, 0.001)
C (0.949, 0.916, 0.611)

PrAsRh2: optimized geometry, GGA-PBE.

## Properties
* calculated formation energy: -708 meV/atom
* space group: R-3m (166)
* Fermi-level density of states: 2.7 states/eV per cell
* total moment: 0.00 μB per formula unit
* final energy: -6.74 eV/atom

Cell lengths 5.608, 5.608, 5.608 Å; angles 44.70, 44.70, 44.70 degrees
Fractional positions:
Pr (0.000, 0.000, 0.000)
As (0.500, 0.500, 0.500)
Rh (0.207, 0.207, 0.207)
Rh (0.793, 0.793, 0.793)

Ca3TaIr: optimized geometry, GGA-PBE.

## Properties
* calculated formation energy: 1704 meV/atom
* energy relative to the lowest polymorph listed for this composition: 924.3 meV/atom
* space group: Pm-3m (221)
* Fermi-level density of states: 9.4 states/eV per cell
* total moment: 1.65 μB per formula unit
* final energy: -3.64 eV/atom

Cell lengths 5.395, 5.395, 5.395 Å; angles 90.00, 90.00, 90.00 degrees
Fractional positions:
Ca (0.000, 0.000, 0.500)
Ca (0.000, 0.500, 0.000)
Ca (0.500, 0.000, 0.000)
Ta (0.000, 0.000, 0.000)
Ir (0.500, 0.500, 0.500)

BeB2Ru: optimized geometry, GGA-PBE.

## Properties
* calculated formation energy: 695 meV/atom
* space group: R-3m (166)
* Fermi-level density of states: 1.7 states/eV per cell
* total moment: 0.00 μB per formula unit
* final energy: -5.89 eV/atom

Cell lengths 6.927, 6.927, 6.927 Å; angles 22.94, 22.94, 22.94 degrees
Fractional positions:
Be (0.000, 0.000, 0.000)
B (0.092, 0.092, 0.092)
B (0.908, 0.908, 0.908)
Ru (0.500, 0.500, 0.500)

PrNd2Th: optimized geometry, GGA-PBE.

## Properties
* calculated formation energy: 190 meV/atom
* energy relative to the lowest polymorph listed for this composition: 165.7 meV/atom
* space group: Fm-3m (225)
* Fermi-level density of states: 10.7 states/eV per cell
* total moment: 0.00 μB per formula unit
* final energy: -5.24 eV/atom

Cell lengths 5.812, 5.812, 5.812 Å; angles 60.00, 60.00, 60.00 degrees
Fractional positions:
Pr (0.000, 0.000, 0.000)
Nd (0.250, 0.250, 0.250)
Nd (0.750, 0.750, 0.750)
Th (0.500, 0.500, 0.500)

CeTm2Hg5: optimized geometry, GGA-PBE.

## Properties
* calculated formation energy: -387 meV/atom
* space group: I4/mmm (139)
* Fermi-level density of states: 10.1 states/eV per cell
* total moment: 1.09 μB per formula unit
* final energy: -2.44 eV/atom

Cell lengths 8.164, 8.164, 8.164 Å; angles 142.47, 142.47, 54.11 degrees
Fractional positions:
Ce (0.000, 0.000, 0.000)
Tm (0.267, 0.267, 0.000)
Tm (0.733, 0.733, 0.000)
Hg (0.130, 0.630, 0.500)
Hg (0.370, 0.870, 0.500)
Hg (0.500, 0.500, 0.000)
Hg (0.630, 0.130, 0.500)
Hg (0.870, 0.370, 0.500)

Na5B7C3: optimized geometry, GGA-PBE.

## Properties
* calculated formation energy: 128 meV/atom
* energy relative to the lowest polymorph listed for this composition: 15.7 meV/atom
* space group: Cm (8)
* Fermi-level density of states: 8.4 states/eV per cell
* total moment: 0.00 μB per formula unit
* final energy: -5.27 eV/atom

Cell lengths 11.580, 11.580, 9.970 Å; angles 107.00, 107.00, 14.10 degrees
Fractional positions:
Na (0.000, 0.000, 0.000)
Na (0.100, 0.100, 0.696)
Na (0.200, 0.200, 0.398)
Na (0.301, 0.301, 0.095)
Na (0.397, 0.397, 0.800)
Na (0.500, 0.500, 0.495)
Na (0.601, 0.601, 0.199)
Na (0.700, 0.700, 0.896)
Na (0.799, 0.799, 0.597)
Na (0.900, 0.900, 0.299)
B (0.019, 0.019, 0.287)
B (0.122, 0.122, 0.991)
B (0.189, 0.189, 0.124)
B (0.213, 0.213, 0.673)
B (0.318, 0.318, 0.385)
B (0.385, 0.385, 0.518)
B (0.423, 0.423, 0.095)
B (0.517, 0.517, 0.781)
B (0.581, 0.581, 0.910)
B (0.616, 0.616, 0.479)
B (0.780, 0.780, 0.308)
B (0.810, 0.810, 0.869)
B (0.882, 0.882, 0.013)
B (0.975, 0.975, 0.699)
C (0.084, 0.084, 0.415)
C (0.278, 0.278, 0.805)
C (0.487, 0.487, 0.222)
C (0.681, 0.681, 0.609)
C (0.718, 0.718, 0.184)
C (0.915, 0.915, 0.579)

CaHoMg2Pd4: optimized geometry, GGA-PBE.

## Properties
* calculated formation energy: -736 meV/atom
* space group: R-3m (166)
* Fermi-level density of states: 3.3 states/eV per cell
* total moment: 0.00 μB per formula unit
* final energy: -4.55 eV/atom

Cell lengths 8.188, 8.188, 8.188 Å; angles 33.99, 33.99, 33.99 degrees
Fractional positions:
Ca (0.000, 0.000, 0.000)
Ho (0.500, 0.500, 0.500)
Mg (0.251, 0.251, 0.251)
Mg (0.749, 0.749, 0.749)
Pd (0.128, 0.128, 0.128)
Pd (0.377, 0.377, 0.377)
Pd (0.623, 0.623, 0.623)
Pd (0.872, 0.872, 0.872)